1.
## TaH2Se (PBE-GGA)

Data for an optimized crystal structure of TaH2Se.

Results
Its crystal system is monoclinic. As for the total moment: 0.00 μB/f.u. For the energy above the lowest structure with this stoichiometry, the calculation gives 0 meV/atom. As for the space-group type: Cm.

abc: 3.3774 3.3748 4.8845
angles: 110.20 90.00 120.03
With the nearest neighbours (Å) after each atom.
Element x y z (fractional)
Se (0.7576, 0.5152, 0.2699)  4 H 2.51-2.78, 4 Ta 2.64-2.70
H (0.9422, 0.8844, 0.8300)  3 H 1.99-2.00, 3 Ta 2.07-2.09
H (0.2441, 0.4882, 0.7339)  3 Ta 1.97-1.98, 3 H 1.99-2.00
Ta (0.5561, 0.1121, 0.6661)  6 H 1.97-2.09


2.
## RbPtF (PBE-GGA)

Data for an optimized crystal structure of RbPtF.

Results
Its crystal system is hexagonal. As for the total moment: 0.00 μB/f.u. The calculation puts the formation energy (no corrections) at -338 meV per atom. For the energy above the lowest structure with this stoichiometry, the calculation gives 1009 meV/atom. As for the space-group type: P6_3/mmc.

abc: 4.1333 4.1333 9.6134
angles: 90.00 90.00 120.00
With the nearest neighbours (Å) after each atom.
Element x y z (fractional)
Pt (0.3333, 0.6667, 0.2500)  3 F 2.39
Pt (0.6667, 0.3333, 0.7500)  3 F 2.39
Rb (0.0000, 0.0000, 0.5000)  6 F 3.39, 6 Pt 3.39
Rb (0.0000, 0.0000, 0.0000)  6 Pt 3.39, 6 F 3.39
F (0.3333, 0.6667, 0.7500)  3 Pt 2.39
F (0.6667, 0.3333, 0.2500)  3 Pt 2.39


3.
## Mg4Tl5In (PBE-GGA)

Data for an optimized crystal structure of Mg4Tl5In.

Results
Its crystal system is tetragonal. Its total energy is -21.068 eV per cell. As for the total moment: 0.00 μB/f.u. As for the space-group type: P4/mmm.

abc: 3.6867 3.6867 18.9264
angles: 90.00 90.00 90.00
With the nearest neighbours (Å) after each atom.
Element x y z (fractional)
Tl (0.5000, 0.5000, 0.8883)  4 Mg 3.22, 4 In 3.36
Tl (0.5000, 0.5000, 0.3075)  8 Mg 3.18-3.19
Tl (0.5000, 0.5000, 0.6925)  8 Mg 3.18-3.19
Tl (0.5000, 0.5000, 0.1117)  4 Mg 3.22, 4 In 3.36
Tl (0.5000, 0.5000, 0.5000)  8 Mg 3.17
Mg (0.0000, 0.0000, 0.4047)  8 Tl 3.17-3.19
Mg (0.0000, 0.0000, 0.7887)  8 Tl 3.18-3.22
Mg (0.0000, 0.0000, 0.5953)  8 Tl 3.17-3.19
Mg (0.0000, 0.0000, 0.2113)  8 Tl 3.18-3.22
In (0.0000, 0.0000, 0.0000)  8 Tl 3.36, 4 In 3.69


4.
## TiZn2CdTe (PBE-GGA)

Data for an optimized crystal structure of TiZn2CdTe.

Results
Its crystal system is tetragonal. As for the total moment: 1.86 μB/f.u. The calculation puts the formation energy (no corrections) at 674 meV per atom. As for the space-group type: P4/mmm.

abc: 5.2237 5.2209 5.2237
angles: 90.00 90.00 90.00
With the nearest neighbours (Å) after each atom.
Element x y z (fractional)
Zn (0.5000, 0.0000, 0.0000)  2 Te 2.61
Zn (0.0000, 0.0000, 0.5000)  2 Te 2.61
Ti (0.0000, 0.5000, 0.0000)  2 Te 2.61
Cd (0.5000, 0.5000, 0.5000)  8 Zn 3.69, 4 Ti 3.69
Te (0.0000, 0.0000, 0.0000)  2 Ti 2.61, 4 Zn 2.61


5.
## VSi3Bi (PBE-GGA)

Data for an optimized crystal structure of VSi3Bi.

Results
Its crystal system is cubic. As for the total moment: 0.00 μB/f.u. The calculation puts the formation energy (no corrections) at 524 meV per atom. For the energy above the lowest structure with this stoichiometry, the calculation gives 0 meV/atom. As for the space-group type: Pm-3m.

abc: 4.7016 4.7016 4.7016
angles: 90.00 90.00 90.00
With the nearest neighbours (Å) after each atom.
Element x y z (fractional)
Bi (0.5000, 0.5000, 0.5000)  12 Si 3.32
Si (0.5000, 0.0000, 0.0000)  2 V 2.35
Si (0.0000, 0.0000, 0.5000)  2 V 2.35
Si (0.0000, 0.5000, 0.0000)  2 V 2.35
V (0.0000, 0.0000, 0.0000)  6 Si 2.35


6.
## Na3TlI4 (PBE-GGA)

Data for an optimized crystal structure of Na3TlI4.

Results
Its crystal system is orthorhombic. As for the total moment: 0.00 μB/f.u. The calculation puts the formation energy (no corrections) at -1097 meV per atom. For the energy above the lowest structure with this stoichiometry, the calculation gives 0 meV/atom. As for the space-group type: Cmmm.

abc: 4.7033 8.2216 8.2216
angles: 109.30 90.00 90.00
With the nearest neighbours (Å) after each atom.
Element x y z (fractional)
I (0.5000, 0.7416, 0.2584)  5 Na 3.24-3.35, 1 Tl 3.47
I (0.0000, 0.2683, 0.2683)  4 Na 3.22-3.36, 2 Tl 3.47
I (0.5000, 0.2584, 0.7416)  5 Na 3.24-3.35, 1 Tl 3.47
I (0.0000, 0.7317, 0.7317)  4 Na 3.22-3.36, 2 Tl 3.47
Tl (0.5000, 0.0000, 0.0000)  6 I 3.47
Na (0.0000, 0.0000, 0.5000)  6 I 3.35-3.36
Na (0.0000, 0.5000, 0.0000)  6 I 3.35-3.36
Na (0.5000, 0.5000, 0.5000)  6 I 3.22-3.24


7.
## SrZnGaAg6 (PBE-GGA)

Data for an optimized crystal structure of SrZnGaAg6.

Results
Its crystal system is orthorhombic. Its total energy is -45.488 eV per cell. As for the total moment: 0.00 μB/f.u. As for the space-group type: Imma.

abc: 7.3704 9.2997 8.2197
angles: 124.45 116.64 90.00
With the nearest neighbours (Å) after each atom.
Element x y z (fractional)
Ag (0.9348, 0.6359, 0.2523)  1 Zn 2.68, 1 Ga 2.69, 3 Ag 2.82-2.95
Ag (0.6825, 0.8836, 0.7477)  1 Zn 2.68, 1 Ga 2.69, 3 Ag 2.82-2.95
Ag (0.6825, 0.3641, 0.7477)  1 Zn 2.68, 1 Ga 2.69, 3 Ag 2.82-2.95
Ag (0.3175, 0.1164, 0.2523)  1 Zn 2.68, 1 Ga 2.69, 3 Ag 2.82-2.95
Ag (0.4091, 0.1591, 0.8181)  2 Ga 2.54, 2 Zn 2.58
Ag (0.0652, 0.8836, 0.7477)  1 Zn 2.68, 1 Ga 2.69, 3 Ag 2.82-2.95
Ag (0.9348, 0.1164, 0.2523)  1 Zn 2.68, 1 Ga 2.69, 3 Ag 2.82-2.95
Ag (0.0059, 0.2559, 0.0118)  8 Ag 3.04-3.11, 1 Sr 3.31
Ag (0.3175, 0.6359, 0.2523)  1 Zn 2.68, 1 Ga 2.69, 3 Ag 2.82-2.95
Ag (0.5909, 0.8409, 0.1819)  2 Ga 2.54, 2 Zn 2.58
Ag (0.9941, 0.7441, 0.9882)  8 Ag 3.04-3.11, 1 Sr 3.31
Ag (0.0652, 0.3641, 0.7477)  1 Zn 2.68, 1 Ga 2.69, 3 Ag 2.82-2.95
Zn (0.0000, 0.0000, 0.5000)  6 Ag 2.58-2.68
Zn (0.5000, 0.0000, 0.5000)  6 Ag 2.58-2.68
Ga (0.5000, 0.5000, 0.0000)  6 Ag 2.54-2.69
Ga (0.5000, 0.0000, 0.0000)  6 Ag 2.54-2.69
Sr (0.2973, 0.5473, 0.5946)  2 Ga 3.27, 10 Ag 3.31-3.43
Sr (0.7027, 0.4527, 0.4054)  2 Ga 3.27, 10 Ag 3.31-3.43


8.
## In3Ga2Pb (PBE-GGA)

Data for an optimized crystal structure of In3Ga2Pb.

Results
Its crystal system is orthorhombic. Its total energy is -35.341 eV per cell. As for the total moment: 0.00 μB/f.u. As for the space-group type: Immm.

abc: 4.9774 8.7858 8.7856
angles: 59.43 73.54 73.54
With the nearest neighbours (Å) after each atom.
Element x y z (fractional)
Pb (0.1277, 0.8724, 0.8722)  8 In 3.34-3.63, 6 Ga 3.35-3.55, 1 Pb 3.69
Pb (0.8723, 0.1276, 0.1278)  8 In 3.34-3.63, 6 Ga 3.35-3.55, 1 Pb 3.69
In (0.0001, 0.6725, 0.3273)  4 Ga 2.94-3.21, 1 In 3.01
In (0.3220, 0.4697, 0.8863)  4 Ga 2.85-3.12
In (0.6779, 0.1138, 0.5304)  4 Ga 2.85-3.12
In (0.9999, 0.3275, 0.6727)  4 Ga 2.94-3.21, 1 In 3.01
In (0.3221, 0.8862, 0.4696)  4 Ga 2.85-3.12
In (0.6780, 0.5303, 0.1137)  4 Ga 2.85-3.12
Ga (0.8032, 0.6968, 0.6967)  8 In 3.09-3.21
Ga (0.5000, 0.8517, 0.1482)  1 Ga 2.58, 2 In 2.85
Ga (0.5000, 0.1483, 0.8518)  1 Ga 2.58, 2 In 2.85
Ga (0.1968, 0.3032, 0.3033)  8 In 3.09-3.21


9.
## Cs12Rb6Pd (PBE-GGA)

Data for an optimized crystal structure of Cs12Rb6Pd.

Results
Its crystal system is trigonal. Its total energy is -20.607 eV per cell. As for the total moment: 0.00 μB/f.u. As for the space-group type: R-3.

abc: 12.5018 12.5018 12.5018
angles: 88.50 88.50 88.50
With the nearest neighbours (Å) after each atom.
Element x y z (fractional)
Cs (0.3390, 0.1311, 0.4738)  5 Rb 5.05-5.59, 5 Cs 5.17-5.63
Cs (0.5262, 0.6610, 0.8689)  5 Rb 5.05-5.59, 5 Cs 5.17-5.63
Cs (0.9692, 0.0481, 0.7262)  1 Pd 3.49
Cs (0.6610, 0.8689, 0.5262)  5 Rb 5.05-5.59, 5 Cs 5.17-5.63
Cs (0.8689, 0.5262, 0.6610)  5 Rb 5.05-5.59, 5 Cs 5.17-5.63
Cs (0.4738, 0.3390, 0.1311)  5 Rb 5.05-5.59, 5 Cs 5.17-5.63
Cs (0.2738, 0.0308, 0.9519)  1 Pd 3.49
Cs (0.9519, 0.2738, 0.0308)  1 Pd 3.49
Cs (0.1311, 0.4738, 0.3390)  5 Rb 5.05-5.59, 5 Cs 5.17-5.63
Cs (0.0308, 0.9519, 0.2738)  1 Pd 3.49
Cs (0.0481, 0.7262, 0.9692)  1 Pd 3.49
Cs (0.7262, 0.9692, 0.0481)  1 Pd 3.49
Rb (0.2405, 0.4023, 0.7658)  2 Rb 4.89, 6 Cs 5.05-5.33
Rb (0.5977, 0.2342, 0.7595)  2 Rb 4.89, 6 Cs 5.05-5.33
Rb (0.7658, 0.2405, 0.4023)  2 Rb 4.89, 6 Cs 5.05-5.33
Rb (0.4023, 0.7658, 0.2405)  2 Rb 4.89, 6 Cs 5.05-5.33
Rb (0.2342, 0.7595, 0.5977)  2 Rb 4.89, 6 Cs 5.05-5.33
Rb (0.7595, 0.5977, 0.2342)  2 Rb 4.89, 6 Cs 5.05-5.33
Pd (0.0000, 0.0000, 0.0000)  6 Cs 3.49


10.
## DyHfCd2 (PBE-GGA)

Data for an optimized crystal structure of DyHfCd2.

Results
Its crystal system is cubic. As for the total moment: 0.83 μB/f.u. For the energy above the lowest structure with this stoichiometry, the calculation gives 30 meV/atom. As for the space-group type: Fm-3m.

abc: 5.1085 5.1085 5.1085
angles: 60.00 60.00 60.00
With the nearest neighbours (Å) after each atom.
Element x y z (fractional)
Cd (0.2500, 0.2500, 0.2500)  4 Dy 3.13, 4 Hf 3.13
Cd (0.7500, 0.7500, 0.7500)  4 Hf 3.13, 4 Dy 3.13
Dy (0.0000, 0.0000, 0.0000)  8 Cd 3.13
Hf (0.5000, 0.5000, 0.5000)  8 Cd 3.13


11.
## LaTaB2 (PBE-GGA)

Data for an optimized crystal structure of LaTaB2.

Results
Its crystal system is cubic. As for the total moment: 0.60 μB/f.u. For the energy above the lowest structure with this stoichiometry, the calculation gives 203 meV/atom. As for the space-group type: Fm-3m.

abc: 4.4384 4.4384 4.4384
angles: 60.00 60.00 60.00
With the nearest neighbours (Å) after each atom.
Element x y z (fractional)
B (0.7500, 0.7500, 0.7500)  4 La 2.72, 4 Ta 2.72
B (0.2500, 0.2500, 0.2500)  4 Ta 2.72, 4 La 2.72
La (0.0000, 0.0000, 0.0000)  8 B 2.72
Ta (0.5000, 0.5000, 0.5000)  8 B 2.72